# BaTbCd (PBE-GGA, relaxed)
# **SG**: F-43m
# **Electronic total energy**: -6.9 eV/f.u.
# **Total magnetization**: 0.34 μB/cell
# **Theoretical density**: 5.69 g/cm³
data_BaTbCd
_chemical_formula_sum 'Ba1 Tb1 Cd1'
_cell_length_a 5.5265
_cell_length_b 5.5265
_cell_length_c 5.5265
_cell_angle_alpha 60.00
_cell_angle_beta 60.00
_cell_angle_gamma 60.00
_space_group_name_H-M_alt 'P 1'
_space_group_IT_number 1
loop_
_space_group_symop_operation_xyz
'x,y,z'
loop_
_atom_site_label
_atom_site_fract_x
_atom_site_fract_y
_atom_site_fract_z
Cd1 0.0000 0.0000 0.0000
Ba1 0.2500 0.2500 0.2500
Tb1 0.7500 0.7500 0.7500